1.
# GGA-PBE TlRh2I, optimized geometry
data_TlRh2I
_symmetry_space_group_name_H-M 'I -4 2 d'
_symmetry_Int_Tables_number 122
_symmetry_space_group_name_Hall 'I -4 2bw'
_cell_length_a 4.7392
_cell_length_b 4.7392
_cell_length_c 16.6226
_cell_angle_alpha 90.00
_cell_angle_beta 90.00
_cell_angle_gamma 90.00
loop_
_atom_site_label
_atom_site_fract_x
_atom_site_fract_y
_atom_site_fract_z
Tl1 0.0000 0.0000 0.0000
Rh1 0.1921 0.2500 0.6250
I1 0.0000 0.0000 0.5000
# distance to the lowest polymorph of the same formula	0.000	eV per atom
# uncorrected formation energy	41.32	kJ/mol of atoms

2.
# GGA-PBE Li2Ti2CrS6, optimized geometry
data_Li2Ti2CrS6
_symmetry_space_group_name_H-M 'C 1 2/m 1'
_symmetry_Int_Tables_number 12
_cell_length_a 5.9268
_cell_length_b 10.2774
_cell_length_c 6.5152
_cell_angle_alpha 90.00
_cell_angle_beta 107.59
_cell_angle_gamma 90.00
loop_
_symmetry_equiv_pos_as_xyz
'x,y,z'
'-x,-y,-z'
'-x,y,-z'
'x,-y,z'
'x+1/2,y+1/2,z'
'-x+1/2,-y+1/2,-z'
'-x+1/2,y+1/2,-z'
'x+1/2,-y+1/2,z'
loop_
_atom_site_label
_atom_site_fract_x
_atom_site_fract_y
_atom_site_fract_z
Li1 0.0000 0.1682 0.0000
Ti1 0.0000 0.3337 0.5000
Cr1 0.0000 0.0000 0.5000
S1 0.2398 0.1639 0.7291
S2 0.2503 0.0000 0.2702
# uncorrected formation energy	-118.93	kJ/mol of atoms

3.
# GGA-PBE LiAc2Dy, optimized geometry
data_LiAc2Dy
_symmetry_space_group_name_H-M 'R -3 m'
_symmetry_Int_Tables_number 166
_symmetry_space_group_name_Hall '-R 3 2"'
_cell_length_a 3.7729
_cell_length_b 3.7729
_cell_length_c 38.5774
_cell_angle_alpha 90.00
_cell_angle_beta 90.00
_cell_angle_gamma 120.00
loop_
_atom_site_label
_atom_site_fract_x
_atom_site_fract_y
_atom_site_fract_z
Li1 0.0000 0.0000 0.0000
Ac1 0.0000 0.0000 0.0895
Dy1 0.0000 0.0000 0.5000
# distance to the lowest polymorph of the same formula	0.130	eV per atom
# E_form	0.823	eV per formula unit

4.
# GGA-PBE Cs2PCCl6, optimized geometry
data_Cs2PCCl6
_symmetry_space_group_name_H-M 'I 4/m m m'
_symmetry_Int_Tables_number 139
_symmetry_space_group_name_Hall '-I 4 2'
_cell_length_a 6.8194
_cell_length_b 6.8194
_cell_length_c 11.8314
_cell_angle_alpha 90.00
_cell_angle_beta 90.00
_cell_angle_gamma 90.00
loop_
_atom_site_label
_atom_site_fract_x
_atom_site_fract_y
_atom_site_fract_z
Cs1 0.0000 0.5000 0.2500
P1 0.0000 0.0000 0.0000
C1 0.0000 0.0000 0.5000
Cl1 0.0000 0.0000 0.2010
Cl2 0.2464 0.2464 0.5000
# uncorrected formation energy	-45.82	kJ/mol of atoms

5.
# GGA-PBE TaP3, optimized geometry
data_TaP3
_symmetry_space_group_name_H-M 'I 4/m m m'
_symmetry_Int_Tables_number 139
_symmetry_space_group_name_Hall '-I 4 2'
_cell_length_a 3.3729
_cell_length_b 3.3729
_cell_length_c 24.2316
_cell_angle_alpha 90.00
_cell_angle_beta 90.00
_cell_angle_gamma 90.00
loop_
_atom_site_label
_atom_site_fract_x
_atom_site_fract_y
_atom_site_fract_z
Ta1 0.0000 0.0000 0.1710
P1 0.0000 0.0000 0.3748
P2 0.0000 0.5000 0.0000
P3 0.0000 0.5000 0.2500
# E_form	-0.396	eV per formula unit

6.
# GGA-PBE InAsSe2Cl, optimized geometry
data_InAsSe2Cl
_symmetry_space_group_name_H-M 'P 4/m m m'
_symmetry_Int_Tables_number 123
_symmetry_space_group_name_Hall '-P 4 2'
_cell_length_a 5.5342
_cell_length_b 5.5342
_cell_length_c 4.8405
_cell_angle_alpha 90.00
_cell_angle_beta 90.00
_cell_angle_gamma 90.00
loop_
_atom_site_label
_atom_site_fract_x
_atom_site_fract_y
_atom_site_fract_z
In1 0.0000 0.0000 0.0000
As1 0.5000 0.5000 0.0000
Se1 0.0000 0.5000 0.5000
Cl1 0.5000 0.5000 0.5000
# distance to the lowest polymorph of the same formula	0.086	eV per atom
# uncorrected formation energy	70.30	kJ/mol of atoms

7.
# GGA-PBE Ca2GeAsF, optimized geometry
data_Ca2GeAsF
_symmetry_space_group_name_H-M 'P 4/m m m'
_symmetry_Int_Tables_number 123
_symmetry_space_group_name_Hall '-P 4 2'
_cell_length_a 4.9598
_cell_length_b 4.9598
_cell_length_c 4.4784
_cell_angle_alpha 90.00
_cell_angle_beta 90.00
_cell_angle_gamma 90.00
loop_
_atom_site_label
_atom_site_fract_x
_atom_site_fract_y
_atom_site_fract_z
Ca1 0.0000 0.5000 0.0000
Ge1 0.0000 0.0000 0.5000
As1 0.5000 0.5000 0.5000
F1 0.0000 0.0000 0.0000
# uncorrected formation energy	-104.48	kJ/mol of atoms

8.
# GGA-PBE Sc2Al2H, optimized geometry
data_Sc2Al2H
_symmetry_space_group_name_H-M 'P 4/m b m'
_symmetry_Int_Tables_number 127
_symmetry_space_group_name_Hall '-P 4 2ab'
_cell_length_a 6.0145
_cell_length_b 6.0145
_cell_length_c 4.8533
_cell_angle_alpha 90.00
_cell_angle_beta 90.00
_cell_angle_gamma 90.00
loop_
_atom_site_label
_atom_site_fract_x
_atom_site_fract_y
_atom_site_fract_z
Sc1 0.1667 0.3333 0.0000
Al1 0.1524 0.6524 0.5000
H1 0.0000 0.0000 0.0000
# E_tot	-49.4	eV per cell

no.,N(E_F) (states/eV/cell)
1,4.44
2,6.85
3,14.32
4,0.01
5,8.66
6,7.39
7,2.57
8,4.58